[1]
A plane-wave DFT calculation with PBE-GGA was carried out for La5Ge5Rh2 after structural relaxation.

Lattice parameters (Å, degrees): 8.1525 8.1525 11.5910 128.83 128.83 30.88
Fractional positions:
La: 0.0000 0.0000 0.0000
La: 0.2998 0.2998 0.4150
La: 0.3755 0.3755 0.1847
La: 0.6245 0.6245 0.8153
La: 0.7002 0.7002 0.5850
Ge: 0.0000 0.0000 0.5000
Ge: 0.0565 0.0565 0.3170
Ge: 0.2927 0.2927 0.8513
Ge: 0.7073 0.7073 0.1487
Ge: 0.9435 0.9435 0.6830
Rh: 0.3889 0.3889 0.7396
Rh: 0.6111 0.6111 0.2604

Properties
The space-group type is No. 12. As for the density of states at the Fermi level: 8.340 states/eV/cell. For the formation enthalpy at 0 K, the calculation gives -0.81 eV/atom.

[2]
A plane-wave DFT calculation with PBE-GGA was carried out for LaGe2Rh after structural relaxation.

Lattice parameters (Å, degrees): 4.7239 4.7239 16.9704 90.00 90.00 90.00
Fractional positions:
La: 0.0000 0.0000 0.0000
La: 0.0000 0.5000 0.2500
La: 0.5000 0.0000 0.7500
La: 0.5000 0.5000 0.5000
Ge: 0.0968 0.2500 0.6250
Ge: 0.2500 0.5968 0.8750
Ge: 0.2500 0.9032 0.3750
Ge: 0.4032 0.2500 0.1250
Ge: 0.5968 0.7500 0.1250
Ge: 0.7500 0.0968 0.3750
Ge: 0.7500 0.4032 0.8750
Ge: 0.9032 0.7500 0.6250
Rh: 0.0000 0.0000 0.5000
Rh: 0.0000 0.5000 0.7500
Rh: 0.5000 0.0000 0.2500
Rh: 0.5000 0.5000 0.0000

Properties
The space-group type is No. 122. As for the density of states at the Fermi level: 8.977 states/eV/cell. For the formation enthalpy at 0 K, the calculation gives -0.53 eV/atom.

[3]
A plane-wave DFT calculation with PBE-GGA was carried out for LaGe4Rh2 after structural relaxation.

Lattice parameters (Å, degrees): 17.5992 4.3596 6.6664 90.00 90.00 90.00
Fractional positions:
La: 0.1411 0.2500 0.0072
La: 0.3589 0.7500 0.5072
La: 0.6411 0.2500 0.4928
La: 0.8589 0.7500 0.9928
Ge: 0.0313 0.7500 0.1424
Ge: 0.0662 0.2500 0.5314
Ge: 0.1825 0.7500 0.6993
Ge: 0.1934 0.7500 0.2918
Ge: 0.3066 0.2500 0.7918
Ge: 0.3175 0.2500 0.1993
Ge: 0.4338 0.7500 0.0314
Ge: 0.4687 0.2500 0.6424
Ge: 0.5313 0.7500 0.3576
Ge: 0.5662 0.2500 0.9686
Ge: 0.6825 0.7500 0.8007
Ge: 0.6934 0.7500 0.2082
Ge: 0.8066 0.2500 0.7082
Ge: 0.8175 0.2500 0.3007
Ge: 0.9338 0.7500 0.4686
Ge: 0.9687 0.2500 0.8576
Rh: 0.0315 0.7500 0.7465
Rh: 0.2092 0.2500 0.4930
Rh: 0.2908 0.7500 0.9930
Rh: 0.4685 0.2500 0.2465
Rh: 0.5315 0.7500 0.7535
Rh: 0.7092 0.2500 0.0070
Rh: 0.7908 0.7500 0.5070
Rh: 0.9685 0.2500 0.2535

Properties
The space-group type is No. 62. As for the density of states at the Fermi level: 10.885 states/eV/cell. For the formation enthalpy at 0 K, the calculation gives -0.67 eV/atom.